BeCrIr2 | PBE | relaxed

## Properties
As for the calculated formation energy: -65 kJ/mol of formula units. For the density, the calculation gives 15.2 Mg/m³. As for the total energy: -7.9365 eV per atom.

a b c (Å): 2.7666 2.7666 6.3639
angles (deg): 90.00 90.00 90.00
Atoms (fractional coordinates):
Cr 0.5000 0.5000 0.7218
Ir 0.0000 0.0000 0.9802
Ir 0.5000 0.5000 0.3003
Be 0.0000 0.0000 0.4977



LaZnAs | PBE | relaxed

## Properties
As for the calculated formation energy: -153 kJ/mol of formula units. For the density, the calculation gives 6.7 Mg/m³. As for the total energy: -4.1466 eV per atom.

a b c (Å): 5.8485 5.8485 5.8485
angles (deg): 141.25 146.22 52.33
Atoms (fractional coordinates):
As 0.0244 0.0244 0.0000
La 0.3332 0.3332 0.0000
Zn 0.6423 0.6423 0.0000



Li7Zn4Ir | PBE | relaxed

## Properties
As for the calculated formation energy: 17 kJ/mol of formula units. For the density, the calculation gives 4.5 Mg/m³. As for the total energy: -2.2644 eV per atom.

a b c (Å): 4.6380 7.3865 6.6286
angles (deg): 62.17 69.52 71.70
Atoms (fractional coordinates):
Li 0.8261 0.8701 0.4778
Li 0.1739 0.1299 0.5222
Li 0.0816 0.5821 0.2547
Li 0.9184 0.4179 0.7453
Li 0.2328 0.7406 0.7938
Li 0.5000 0.0000 0.0000
Li 0.7672 0.2594 0.2062
Zn 0.5486 0.2935 0.6094
Zn 0.4514 0.7065 0.3906
Zn 0.6738 0.6588 0.9936
Zn 0.3262 0.3412 0.0064
Ir 0.0000 0.0000 0.0000



AcTb2Er6 | PBE | relaxed

## Properties
As for the calculated formation energy: 73 kJ/mol of formula units. For the density, the calculation gives 8.7 Mg/m³. The calculation puts the distance to the lowest polymorph of the same formula at 0.0 kJ/mol of atoms. As for the total energy: -4.4431 eV per atom.

a b c (Å): 3.6007 3.6010 26.2284
angles (deg): 90.00 90.00 120.00
Atoms (fractional coordinates):
Ac 0.3333 0.6667 0.0000
Tb 0.6667 0.3333 0.6688
Tb 0.6667 0.3333 0.3312
Er 0.6667 0.3333 0.8818
Er 0.3333 0.6667 0.4366
Er 0.3333 0.6667 0.7770
Er 0.3333 0.6667 0.2230
Er 0.3333 0.6667 0.5634
Er 0.6667 0.3333 0.1182



Hg2TePt | PBE | relaxed

## Properties
The calculation puts the uncorrected formation energy at 1.1 eV per formula unit. For the density, the calculation gives 13.3 Mg/m³. As for the total energy: -2.1624 eV per atom.

a b c (Å): 5.8861 5.8861 3.1069
angles (deg): 90.00 90.00 122.81
Atoms (fractional coordinates):
Hg 0.0000 0.0000 0.0000
Hg 0.5000 0.5000 0.0000
Pt 0.5000 0.0000 0.5000
Te 0.0000 0.5000 0.5000



Dy4Co4Si | PBE | relaxed

## Properties
The calculation puts the uncorrected formation energy at -2.4 eV per formula unit. For the density, the calculation gives 8.7 Mg/m³. As for the total energy: -6.0762 eV per atom.

a b c (Å): 5.3879 8.0499 8.0499
angles (deg): 90.00 90.00 90.00
Atoms (fractional coordinates):
Dy 0.1104 0.5381 0.1871
Dy 0.1104 0.9619 0.3129
Dy 0.6104 0.8129 0.0381
Dy 0.6104 0.6871 0.4619
Dy 0.8896 0.4619 0.8129
Dy 0.8896 0.0381 0.6871
Dy 0.3896 0.1871 0.9619
Dy 0.3896 0.3129 0.5381
Co 0.1035 0.6282 0.5206
Co 0.1035 0.8718 0.9794
Co 0.6035 0.4794 0.1282
Co 0.6035 0.0206 0.3718
Co 0.8965 0.3718 0.4794
Co 0.8965 0.1282 0.0206
Co 0.3965 0.5206 0.8718
Co 0.3965 0.9794 0.6282
Si 0.7500 0.2500 0.2500
Si 0.2500 0.7500 0.7500